Entry 1:
Sr2LiCu after structural relaxation, computed with PBE.

Properties
Calculated formation energy ... 0.090 eV/atom
Fermi-level density of states ... 2.0 states/eV/f.u.
Volume ... 148.1 Å³ per cell

abc: 4.380 4.380 9.264
angles: 76.32 76.32 60.00
Fractional coordinates of all 4 atoms:
Sr: 0.065 0.065 0.804
Sr: 0.268 0.268 0.197
Li: 0.501 0.501 0.497
Cu: 0.666 0.666 0.003

Entry 2:
Sr2LiCu after structural relaxation, computed with PBE.

Properties
Calculated formation energy ... 0.291 eV/atom
Fermi-level density of states ... 4.3 states/eV/f.u.
Volume ... 116.5 Å³ per cell

abc: 5.483 5.483 5.483
angles: 60.00 60.00 60.00
Fractional coordinates of all 4 atoms:
Cu: 0.500 0.500 0.500
Li: 0.750 0.750 0.750
Sr: 0.000 0.000 0.000
Sr: 0.250 0.250 0.250

Entry 3:
SrLi2Cu after structural relaxation, computed with PBE.

Properties
Calculated formation energy ... 0.006 eV/atom
Fermi-level density of states ... 2.0 states/eV/f.u.
Volume ... 98.6 Å³ per cell

abc: 4.525 4.525 6.156
angles: 68.21 68.21 59.99
Fractional coordinates of all 4 atoms:
Sr: 0.506 0.506 0.485
Cu: 0.306 0.306 0.082
Li: 0.989 0.989 0.033
Li: 0.700 0.700 0.900

Number 1: total magnetization 0.00 μB per cell, electronic total energy -2.2530 eV per atom. Number 2: total magnetization 0.00 μB per cell, electronic total energy -2.0525 eV per atom. Number 3: total magnetization 0.00 μB per cell, electronic total energy -2.3954 eV per atom.